Entry 1:
DFT (GGA-PBE) results for an optimized crystal structure of KRuPt2.

Structure (POSCAR):
```
KRuPt2
1.0
7.158 0.000 0.003
0.000 4.475 0.000
-6.600 0.000 10.556
K Ru Pt
4 4 8
Cartesian
2.479 0.000 0.367 K
-0.821 2.237 5.645 K
-2.490 0.000 4.001 K
-5.789 2.237 9.279 K
1.718 0.000 5.026 Ru
-1.582 2.237 10.304 Ru
-3.966 0.000 7.226 Ru
-0.666 2.237 1.948 Ru
-1.560 0.000 8.706 Pt
1.740 2.237 3.428 Pt
0.624 0.000 7.281 Pt
3.923 2.237 2.003 Pt
6.125 0.000 0.554 Pt
2.825 2.237 5.832 Pt
0.418 0.000 2.748 Pt
-2.882 2.237 8.027 Pt
```

distance to the lowest polymorph of the same formula: 0.30 eV/f.u.
size of the total moment: 0.00 μB per formula unit
total energy: -5.39 eV/atom
crystal system: monoclinic
DOS at the Fermi energy: 16.71 states/eV per cell
ΔE_f: 224.5 meV per atom

---

Entry 2:
DFT (GGA-PBE) results for an optimized crystal structure of Li2InCl.

Structure (POSCAR):
```
Li2InCl
1.0
5.235 0.000 0.000
2.618 4.534 0.000
2.618 1.511 4.275
Cl In Li
1 1 2
Cartesian
5.235 3.023 2.137 Cl
7.853 4.534 3.206 In
0.000 0.000 0.000 Li
2.618 1.511 1.069 Li
```

formation energy from raw total energies: -0.2225 eV/atom
distance to the lowest polymorph of the same formula: 2.73 eV/f.u.
size of the total moment: 0.00 μB per formula unit
total energy: -2.33 eV/atom
crystal system: cubic
DOS at the Fermi energy: 1.74 states/eV per cell

---

Entry 3:
DFT (GGA-PBE) results for an optimized crystal structure of Li2Ce.

Structure (POSCAR):
```
Li2Ce
1.0
-4.598 -3.580 0.444
-1.811 -3.022 -4.663
0.773 -5.789 -0.211
Ce Li
2 4
Cartesian
0.000 0.000 0.000 Ce
-1.409 -3.098 -1.108 Ce
-1.223 -5.954 -2.991 Li
-2.617 -6.233 -0.437 Li
-3.522 -7.745 -2.769 Li
-3.909 -4.850 -2.663 Li
```

distance to the lowest polymorph of the same formula: 0.26 eV/f.u.
size of the total moment: 1.91 μB per formula unit
total energy: -3.02 eV/atom
crystal system: cubic
DOS at the Fermi energy: 14.66 states/eV per cell
ΔE_f: 237.9 meV per atom

---

Entry 4:
DFT (GGA-PBE) results for an optimized crystal structure of ReRh2Se.

Structure (POSCAR):
```
ReRh2Se
1.0
2.980 0.000 0.000
0.000 4.507 0.000
0.000 0.000 4.467
Re Rh Se
1 2 1
Cartesian
0.000 2.253 2.233 Re
0.000 0.000 0.000 Rh
1.490 2.253 0.000 Rh
1.490 0.000 2.233 Se
```

formation energy from raw total energies: 0.3884 eV/atom
size of the total moment: 0.00 μB per formula unit
total energy: -7.27 eV/atom
crystal system: orthorhombic
DOS at the Fermi energy: 5.71 states/eV per cell

---

Entry 5:
DFT (GGA-PBE) results for an optimized crystal structure of TaHgRu.

Structure (POSCAR):
```
TaHgRu
1.0
5.202 0.011 -0.009
2.971 4.269 0.009
-3.928 -2.443 2.379
Hg Ru Ta
1 1 1
Cartesian
8.164 4.276 0.000 Hg
2.576 1.349 0.000 Ru
5.606 2.936 0.000 Ta
```

distance to the lowest polymorph of the same formula: 0.00 eV/f.u.
size of the total moment: 0.00 μB per formula unit
total energy: -7.04 eV/atom
crystal system: orthorhombic
DOS at the Fermi energy: 2.22 states/eV per cell
ΔE_f: 102.7 meV per atom

---

Entry 6:
DFT (GGA-PBE) results for an optimized crystal structure of PmYCu4.

Structure (POSCAR):
```
PmYCu4
1.0
-0.822 3.193 2.793
2.639 -0.604 4.809
3.701 4.087 -0.240
Pm Y Cu
1 1 4
Cartesian
2.446 3.325 3.604 Pm
-0.121 1.608 1.469 Y
1.673 0.269 3.527 Cu
3.323 4.046 6.380 Cu
3.747 5.918 4.365 Cu
2.318 3.119 0.460 Cu
```

distance to the lowest polymorph of the same formula: 0.00 eV/f.u.
size of the total moment: 0.00 μB per formula unit
total energy: -4.84 eV/atom
crystal system: orthorhombic
DOS at the Fermi energy: 3.15 states/eV per cell
ΔE_f: -243.9 meV per atom